[1]
## CaAuBr2 (SCAN)

Data for a PBEsol-optimized structure of CaAuBr2. Values from VASP.

```
&SYSTEM
  ibrav = 0, nat = 4, ntyp = 3
/
ATOMIC_SPECIES
Ca 40.08 Ca.upf
Au 196.97 Au.upf
Br 79.90 Br.upf
CELL_PARAMETERS angstrom
1.9178 1.1072 9.0456
-1.9178 1.1072 9.0456
0.0000 -2.2145 9.0456
ATOMIC_POSITIONS crystal
Ca 0.0000 0.0000 0.0000
Au 0.5000 0.5000 0.5000
Br 0.2691 0.2691 0.2691
Br 0.7309 0.7309 0.7309
```

Properties
Its symmetry is R-3m (166). Its crystal system is trigonal. For the spin magnetization, the calculation gives 0.00 μB/atom. The value obtained for the energy relative to the elements, uncorrected is -0.969 eV/atom. For the energy above the lowest structure with this stoichiometry, the calculation gives 0.000 eV/f.u.

=====

[2]
## Ta2SiIr (SCAN)

Data for a PBEsol-optimized structure of Ta2SiIr. Values from VASP.

```
&SYSTEM
  ibrav = 0, nat = 4, ntyp = 3
/
ATOMIC_SPECIES
Ta 180.95 Ta.upf
Si 28.09 Si.upf
Ir 192.22 Ir.upf
CELL_PARAMETERS angstrom
1.4249 0.8227 8.9042
-1.4249 0.8227 8.9042
0.0000 -1.6454 8.9042
ATOMIC_POSITIONS crystal
Ta 0.0000 0.0000 0.0000
Ta 0.2385 0.2385 0.2385
Si 0.7491 0.7491 0.7491
Ir 0.4870 0.4870 0.4870
```

Properties
Its symmetry is R3m (160). Its crystal system is trigonal. For the spin magnetization, the calculation gives 0.00 μB/atom. The value obtained for the energy relative to the elements, uncorrected is -0.153 eV/atom.

=====

[3]
## Cd2WCl (SCAN)

Data for a PBEsol-optimized structure of Cd2WCl. Values from VASP.

```
&SYSTEM
  ibrav = 0, nat = 4, ntyp = 3
/
ATOMIC_SPECIES
Cd 112.41 Cd.upf
W 183.84 W.upf
Cl 35.45 Cl.upf
CELL_PARAMETERS angstrom
2.8937 0.0000 0.0000
0.0000 4.6786 0.0000
0.0000 0.0000 5.3305
ATOMIC_POSITIONS crystal
Cd 0.0000 0.0000 0.0000
Cd 0.5000 0.5000 0.0000
W 0.0000 0.5000 0.5000
Cl 0.5000 0.0000 0.5000
```

Properties
Its symmetry is Pmmm (47). Its crystal system is orthorhombic. For the spin magnetization, the calculation gives 0.24 μB/atom. The value obtained for the energy relative to the elements, uncorrected is 0.789 eV/atom. For the energy above the lowest structure with this stoichiometry, the calculation gives 1.119 eV/f.u.

=====

[4]
## Mg2BeC (SCAN)

Data for a PBEsol-optimized structure of Mg2BeC. Values from VASP.

```
&SYSTEM
  ibrav = 0, nat = 8, ntyp = 3
/
ATOMIC_SPECIES
Mg 24.30 Mg.upf
Be 9.01 Be.upf
C 12.01 C.upf
CELL_PARAMETERS angstrom
-4.2461 4.2461 1.6546
4.2461 -4.2461 1.6546
4.2461 4.2461 -1.6546
ATOMIC_POSITIONS crystal
Mg 0.3750 0.0340 0.1590
Mg 0.7840 0.6250 0.6590
Mg 0.8750 0.2160 0.8410
Mg 0.9660 0.1250 0.3410
Be 0.2500 0.7500 0.5000
Be 0.5000 0.5000 0.0000
C 0.0000 0.0000 0.0000
C 0.7500 0.2500 0.5000
```

Properties
Its symmetry is I-42d (122). Its crystal system is tetragonal. For the spin magnetization, the calculation gives 0.00 μB/atom. As for the formation enthalpy at 0 K: 0.17 eV/atom.

=====

[5]
## NdMoI4O15 (SCAN)

Data for a PBEsol-optimized structure of NdMoI4O15. Values from VASP.

```
&SYSTEM
  ibrav = 0, nat = 42, ntyp = 4
/
ATOMIC_SPECIES
Nd 144.24 Nd.upf
Mo 95.94 Mo.upf
I 126.90 I.upf
O 16.00 O.upf
CELL_PARAMETERS angstrom
6.7347 0.0000 0.0000
0.0000 14.0759 0.0000
-2.9725 0.0000 6.4068
ATOMIC_POSITIONS crystal
Nd 0.0872 0.0000 0.4317
Nd 0.9128 0.5000 0.5683
Mo 0.3957 0.6709 0.2118
Mo 0.6043 0.1709 0.7882
I 0.1570 0.1268 0.9629
I 0.2255 0.3958 0.1392
I 0.2393 0.7524 0.6963
I 0.4698 0.9077 0.2353
I 0.5302 0.4077 0.7647
I 0.7607 0.2524 0.3037
I 0.7745 0.8958 0.8608
I 0.8430 0.6268 0.0371
O 0.0132 0.3970 0.8739
O 0.0403 0.6581 0.6034
O 0.0590 0.8525 0.5856
O 0.0987 0.0270 0.7807
O 0.1827 0.5850 0.0501
O 0.2302 0.7661 0.9568
O 0.2394 0.2663 0.1832
O 0.2463 0.7157 0.3430
O 0.2596 0.0612 0.2070
O 0.2866 0.4790 0.6560
O 0.4002 0.2874 0.7063
O 0.4086 0.0968 0.6163
O 0.4165 0.9092 0.4719
O 0.4435 0.1499 0.9945
O 0.4725 0.4046 0.0922
O 0.5275 0.9046 0.9078
O 0.5565 0.6499 0.0055
O 0.5835 0.4092 0.5281
O 0.5914 0.5968 0.3837
O 0.5998 0.7874 0.2937
O 0.7134 0.9790 0.3440
O 0.7404 0.5612 0.7930
O 0.7537 0.2157 0.6570
O 0.7606 0.7663 0.8168
O 0.7698 0.2661 0.0432
O 0.8173 0.0850 0.9499
O 0.9013 0.5270 0.2193
O 0.9410 0.3525 0.4144
O 0.9597 0.1581 0.3966
O 0.9868 0.8970 0.1261
```

Properties
Its symmetry is P2_1 (4). Its crystal system is monoclinic. For the spin magnetization, the calculation gives 0.00 μB/atom. The value obtained for the energy relative to the elements, uncorrected is -1.075 eV/atom.

=====

[6]
## LiHPt2 (SCAN)

Data for a PBEsol-optimized structure of LiHPt2. Values from VASP.

```
&SYSTEM
  ibrav = 0, nat = 8, ntyp = 3
/
ATOMIC_SPECIES
Li 6.94 Li.upf
H 1.01 H.upf
Pt 195.08 Pt.upf
CELL_PARAMETERS angstrom
-3.1164 3.1164 2.3754
3.1164 -3.1164 2.3754
3.1164 3.1164 -2.3754
ATOMIC_POSITIONS crystal
Li 0.0000 0.0000 0.0000
Li 0.7500 0.2500 0.5000
H 0.2500 0.7500 0.5000
H 0.5000 0.5000 0.0000
Pt 0.2337 0.6250 0.1087
Pt 0.3750 0.4837 0.6087
Pt 0.5163 0.1250 0.8913
Pt 0.8750 0.7663 0.3913
```

Properties
The calculation puts the total energy at -294.14 eV per cell. Its symmetry is I-42d (122). Its crystal system is tetragonal. For the spin magnetization, the calculation gives 0.00 μB/atom.